Arrangement i

Here is HfAlTeN2 after structural relaxation from Alexandria via LeMat-Bulk. Energies are from PBE-GGA.

The structure belongs to space group P4/mmm (No. 123); the cell edges are 4.113, 4.113 and 6.007 Å and the angles 90.00°, 90.00° and 90.00°. The distinct sites, in fractional coordinates, are Hf at (0.000, 0.000, 0.000), Al at (0.500, 0.500, 0.500), Te at (0.000, 0.000, 0.500) and N at (0.000, 0.500, 0.000).

The calculation puts the volume at 102 Å³/cell. The value obtained for the density of states at the Fermi level is 0.446 states/eV/atom.



Arrangement ii

Here is HfAlTeN2 after structural relaxation from Alexandria via LeMat-Bulk. Energies are from PBE-GGA.

The structure belongs to space group P4/mmm (No. 123); the cell edges are 3.916, 3.916 and 5.282 Å and the angles 90.00°, 90.00° and 90.00°. The distinct sites, in fractional coordinates, are Hf at (0.000, 0.000, 0.000), Al at (0.500, 0.500, 0.500), Te at (0.500, 0.500, 0.000) and N at (0.000, 0.500, 0.500).

The calculation puts the volume at 81 Å³/cell. The value obtained for the density of states at the Fermi level is 0.597 states/eV/atom.



Sorted by energy, starting with the most stable: arrangement i, arrangement ii.



Arrangement i

Here is NaHfAl2 after structural relaxation from Alexandria via LeMat-Bulk. Energies are from PBE-GGA.

The structure belongs to space group Fm-3m (No. 225); the cell edges are 6.825, 6.825 and 6.825 Å and the angles 90.00°, 90.00° and 90.00°. The distinct sites, in fractional coordinates, are Na at (0.000, 0.000, 0.000), Hf at (0.000, 0.000, 0.500) and Al at (0.250, 0.250, 0.250).

The calculation puts the volume at 318 Å³/cell. The value obtained for the density of states at the Fermi level is 0.985 states/eV/atom.



Arrangement ii

Here is NaHfAl2 after structural relaxation from Alexandria via LeMat-Bulk. Energies are from PBE-GGA.

The structure belongs to space group I-42d (No. 122); the cell edges are 7.510, 7.510 and 6.079 Å and the angles 90.00°, 90.00° and 90.00°. The distinct sites, in fractional coordinates, are Na at (0.000, 0.000, 0.000), Hf at (0.000, 0.000, 0.500) and Al at (0.244, 0.250, 0.125).

The calculation puts the volume at 343 Å³/cell. The value obtained for the density of states at the Fermi level is 0.601 states/eV/atom.



Sorted by energy, starting with the most stable: arrangement i, arrangement ii.



Arrangement i

Here is NaHfAl3 after structural relaxation from Alexandria via LeMat-Bulk. Energies are from PBE-GGA.

The structure belongs to space group Pm-3m (No. 221); the cell edges are 4.749, 4.749 and 4.749 Å and the angles 90.00°, 90.00° and 90.00°. The distinct sites, in fractional coordinates, are Na at (0.000, 0.000, 0.000), Hf at (0.500, 0.500, 0.500) and Al at (0.000, 0.000, 0.500).

The calculation puts the volume at 107 Å³/cell. The value obtained for the density of states at the Fermi level is 0.689 states/eV/atom.



Arrangement ii

Here is NaHfAl3 after structural relaxation from Alexandria via LeMat-Bulk. Energies are from PBE-GGA.

The structure belongs to space group Pm-3m (No. 221); the cell edges are 5.326, 5.326 and 5.326 Å and the angles 90.00°, 90.00° and 90.00°. The distinct sites, in fractional coordinates, are Na at (0.000, 0.000, 0.000), Hf at (0.500, 0.500, 0.500) and Al at (0.000, 0.500, 0.500).

The calculation puts the volume at 151 Å³/cell. The value obtained for the density of states at the Fermi level is 0.903 states/eV/atom.



Sorted by energy, starting with the most stable: arrangement ii, arrangement i.



Arrangement i

Here is HfNbAl after structural relaxation from Alexandria via LeMat-Bulk. Energies are from PBE-GGA.

The structure belongs to space group C2/m (No. 12); the cell edges are 5.346, 14.639 and 2.921 Å and the angles 90.00°, 100.24° and 90.00°. The distinct sites, in fractional coordinates, are Hf at (0.232, 0.000, 0.309), Nb at (0.000, 0.182, 0.500) and Al at (0.000, 0.347, 0.000).

The calculation puts the volume at 225 Å³/cell. The value obtained for the density of states at the Fermi level is 0.628 states/eV/atom.



Arrangement ii

Here is HfNbAl after structural relaxation from Alexandria via LeMat-Bulk. Energies are from PBE-GGA.

The structure belongs to space group P-6m2 (No. 187); the cell edges are 4.7252, 4.7252 and 2.8853 Å and the angles 90.00°, 90.00° and 120.00°. The distinct sites, in fractional coordinates, are Hf at (0.0000, 0.0000, 0.0000), Nb at (0.6667, 0.3333, 0.0000) and Al at (0.3333, 0.6667, 0.5000).

The calculation puts the volume at 56 Å³/cell. The value obtained for the density of states at the Fermi level is 0.956 states/eV/atom.



Sorted by energy, starting with the most stable: arrangement i, arrangement ii.



Arrangement i

Here is HfNbAl after structural relaxation from Alexandria via LeMat-Bulk. Energies are from PBE-GGA.

The structure belongs to space group I4mm (No. 107); the cell edges are 3.534, 3.534 and 8.956 Å and the angles 90.00°, 90.00° and 90.00°. The distinct sites, in fractional coordinates, are Hf at (0.000, 0.000, 0.000), Nb at (0.000, 0.000, 0.678) and Al at (0.000, 0.000, 0.329).

The calculation puts the volume at 112 Å³/cell. The value obtained for the density of states at the Fermi level is 1.062 states/eV/atom.



Arrangement ii

Here is HfNbAl after structural relaxation from Alexandria via LeMat-Bulk. Energies are from PBE-GGA.

The structure belongs to space group Imma (No. 74); the cell edges are 5.325, 5.407 and 7.909 Å and the angles 90.00°, 90.00° and 90.00°. The distinct sites, in fractional coordinates, are Hf at (0.000, 0.250, 0.122), Nb at (0.250, 0.250, 0.750) and Al at (0.000, 0.000, 0.500).

The calculation puts the volume at 228 Å³/cell. The value obtained for the density of states at the Fermi level is 0.900 states/eV/atom.



Sorted by energy, starting with the most stable: arrangement ii, arrangement i.



Arrangement i

Here is Hf2NbAl2 after structural relaxation from Alexandria via LeMat-Bulk. Energies are from PBE-GGA.

The structure belongs to space group P-6m2 (No. 187); the cell edges are 4.6083, 4.6083 and 5.6121 Å and the angles 90.00°, 90.00° and 120.00°. The distinct sites, in fractional coordinates, are Hf at (0.0000, 0.0000, 0.0000), Hf at (0.3333, 0.6667, 0.5000), Nb at (0.0000, 0.0000, 0.5000) and Al at (0.6667, 0.3333, 0.2551).

The calculation puts the volume at 103 Å³/cell. The value obtained for the density of states at the Fermi level is 1.088 states/eV/atom.



Arrangement ii

Here is Hf2NbAl2 after structural relaxation from Alexandria via LeMat-Bulk. Energies are from PBE-GGA.

The structure belongs to space group Cmcm (No. 63); the cell edges are 5.492, 14.287 and 5.164 Å and the angles 90.00°, 90.00° and 90.00°. The distinct sites, in fractional coordinates, are Hf at (0.000, 0.073, 0.250), Hf at (0.000, 0.309, 0.750), Nb at (0.000, 0.500, 0.000) and Al at (0.242, 0.137, 0.750).

The calculation puts the volume at 405 Å³/cell. The value obtained for the density of states at the Fermi level is 0.956 states/eV/atom.



Arrangement iii

Here is Hf2NbAl2 after structural relaxation from Alexandria via LeMat-Bulk. Energies are from PBE-GGA.

The structure belongs to space group P4/mbm (No. 127); the cell edges are 7.186, 7.186 and 3.697 Å and the angles 90.00°, 90.00° and 90.00°. The distinct sites, in fractional coordinates, are Hf at (0.177, 0.323, 0.000), Nb at (0.000, 0.000, 0.500) and Al at (0.125, 0.625, 0.500).

The calculation puts the volume at 191 Å³/cell. The value obtained for the density of states at the Fermi level is 0.903 states/eV/atom.



Sorted by energy, starting with the most stable: arrangement iii, arrangement ii, arrangement i.